NbNiRhO6: optimized geometry, PBE with a Hubbard U.

Cell lengths 4.7113, 4.7113, 9.1885 Å; angles 90.00, 90.00, 90.00 degrees
Sites, in units of the cell vectors:
Nb (0.0000, 0.0000, 0.0000)
Nb (0.5000, 0.5000, 0.5000)
Ni (0.0000, 0.0000, 0.3297)
Ni (0.5000, 0.5000, 0.8297)
Rh (0.0000, 0.0000, 0.6635)
Rh (0.5000, 0.5000, 0.1635)
O (0.1928, 0.1928, 0.8304)
O (0.1961, 0.1961, 0.5021)
O (0.2060, 0.2060, 0.1564)
O (0.2940, 0.7060, 0.6564)
O (0.3039, 0.6961, 0.0021)
O (0.3072, 0.6928, 0.3304)
O (0.6928, 0.3072, 0.3304)
O (0.6961, 0.3039, 0.0021)
O (0.7060, 0.2940, 0.6564)
O (0.7940, 0.7940, 0.1564)
O (0.8039, 0.8039, 0.5021)
O (0.8072, 0.8072, 0.8304)

Values from the calculation:
Its electronic total energy is -0.2543 hartree per atom. The space group is P4_2nm (102). For the density of states at the Fermi level, the calculation gives 4.70 states/eV/f.u.